## TiVP2O8 (GGA+U)

Data for an optimized crystal structure of TiVP2O8.

```
36
Lattice="4.3328 2.5015 7.0085 -4.3328 2.5015 7.0085 0.0000 -5.0031 7.0085" Properties=species:S:1:pos:R:3 pbc="T T T"
Ti 0.0000 0.0000 0.0000
Ti 0.0000 0.0000 4.4245
Ti 0.0000 0.0000 10.5360
V 0.0000 0.0000 7.4546
V 0.0000 0.0000 15.0180
V 0.0000 0.0000 18.0056
P -3.0481 0.3076 9.2313
P -1.2696 -2.2021 12.7517
P 1.2576 -2.7936 9.2313
P -1.2723 2.2005 12.7517
P 1.7905 2.4859 9.2313
P 2.5418 0.0016 12.7517
O -3.5316 1.0422 7.9639
O -0.8403 -1.2593 5.8060
O -2.8199 -2.3460 12.6042
O -3.4212 1.1360 10.4769
O 0.8632 -3.5795 7.9639
O -1.5043 0.1645 9.0920
O -0.6704 1.3574 5.8060
O 0.7268 -3.5309 10.4769
O -0.8074 -1.4428 11.4787
O 0.6096 -1.3850 9.0920
O 1.5107 -0.0981 5.8060
O -0.8434 -1.4945 14.0132
O -0.8458 1.4206 11.4787
O -1.5500 -0.1556 16.4272
O 0.8946 1.2205 9.0920
O -0.8725 1.4777 14.0132
O 1.6532 0.0222 11.4787
O -0.6217 3.6151 12.6042
O 0.9098 -1.2646 16.4271
O 2.6684 2.5373 7.9639
O 1.7159 0.0168 14.0132
O 3.4416 -1.2691 12.6042
O 0.6403 1.4201 16.4271
O 2.6944 2.3949 10.4769
```

The density comes out at 3.156 g/cm3. The value obtained for the density of states at the Fermi level is 5.908 states/eV/cell. The value obtained for the final energy is -94.63 eV/f.u. As for the size of the total moment: 9.02 Bohr magnetons per cell. As for the symmetry: R3 (146).


## TiVP2O (GGA+U)

Data for an optimized crystal structure of TiVP2O.

```
5
Lattice="4.8591 0.0000 0.0000 0.0000 4.8591 0.0000 0.0000 0.0000 3.6656" Properties=species:S:1:pos:R:3 pbc="T T T"
Ti 0.0000 0.0000 0.0000
V 2.4295 2.4295 1.8328
P 0.0000 2.4295 0.0000
P 2.4295 0.0000 0.0000
O 0.0000 0.0000 1.8328
```

The density comes out at 3.391 g/cm3. The value obtained for the density of states at the Fermi level is 5.357 states/eV/cell. The value obtained for the final energy is -31.69 eV/f.u. As for the size of the total moment: 0.15 Bohr magnetons per cell. As for the symmetry: P4/mmm (123).


## TiV3P6O24 (GGA+U)

Data for an optimized crystal structure of TiV3P6O24.

```
34
Lattice="4.2714 2.4661 7.2615 -4.2714 2.4661 7.2615 0.0000 -4.9322 7.2615" Properties=species:S:1:pos:R:3 pbc="T T T"
Ti 0.0000 0.0000 0.0000
V 0.0000 0.0000 6.1373
V 0.0000 0.0000 10.8733
V 0.0000 0.0000 17.0268
P -2.3973 -0.0402 8.5162
P -1.8563 -2.4807 12.1396
P 1.2335 -2.0560 8.5162
P -1.2202 2.8479 12.1396
P 1.1638 2.0962 8.5162
P 3.0765 -0.3672 12.1396
O -3.2814 1.1896 8.3153
O -0.4755 -1.4566 5.0803
O -1.5168 -0.3263 7.2757
O -2.7136 -2.2286 13.3702
O -1.0237 1.1400 5.0803
O 0.6105 -3.4366 8.3153
O -1.5847 0.1539 9.7894
O -0.8868 -1.3142 11.9699
O 1.0410 -1.1504 7.2757
O 0.6591 -1.4493 9.7894
O 1.4991 0.3165 5.0803
O 0.4758 1.4767 7.2757
O -0.6947 1.4251 11.9700
O -1.4963 0.2491 15.9493
O -0.9928 -1.2098 18.1398
O 0.9256 1.2954 9.7894
O 0.5324 -1.4204 15.9493
O 1.5815 -0.1109 11.9700
O -0.5732 3.4644 13.3702
O 2.6710 2.2470 8.3153
O -0.5514 1.4647 18.1398
O 3.2868 -1.2358 13.3702
O 0.9639 1.1713 15.9493
O 1.5441 -0.2548 18.1398
```

The density comes out at 2.788 g/cm3. The value obtained for the final energy is -255.34 eV/f.u. As for the size of the total moment: 1.00 Bohr magnetons per cell. As for the symmetry: R3 (146).


## TiVP3O12 (GGA+U)

Data for an optimized crystal structure of TiVP3O12.

```
34
Lattice="4.2763 2.4689 7.2954 -4.2763 2.4689 7.2954 0.0000 -4.9378 7.2954" Properties=species:S:1:pos:R:3 pbc="T T T"
Ti 0.0000 0.0000 0.0000
Ti 0.0000 0.0000 10.9430
V 0.0000 0.0000 6.1568
V 0.0000 0.0000 17.0999
P -1.2359 -2.0567 8.5396
P -3.1130 -0.3702 12.1872
P -1.1632 2.0987 8.5396
P 1.8771 -2.5108 12.1872
P 2.3991 -0.0419 8.5396
P 1.2359 2.8811 12.1872
O -0.6704 -3.4633 8.3372
O -1.4931 0.3016 5.0902
O -1.0330 -1.1690 7.2852
O -3.3277 -1.2159 13.4300
O 0.4854 -1.4438 5.0902
O -2.6642 2.3122 8.3372
O -0.6109 -1.4480 9.7824
O -1.6121 -0.1567 11.9848
O -0.4959 1.4790 7.2853
O -0.9485 1.2531 9.7824
O 1.0077 1.1422 5.0902
O 1.5288 -0.3101 7.2853
O 0.9418 -1.3178 11.9848
O -0.4854 -1.4438 16.0332
O -1.5288 -0.3101 18.2283
O 1.5594 0.1949 9.7824
O -1.0077 1.1422 16.0332
O 0.6704 1.4745 11.9848
O 2.7168 -2.2740 13.4300
O 3.3345 1.1511 8.3372
O 1.0330 -1.1690 18.2283
O 0.6109 3.4898 13.4300
O 1.4931 0.3016 16.0332
O 0.4959 1.4790 18.2283
```

The density comes out at 2.758 g/cm3. The value obtained for the final energy is -129.60 eV/f.u. As for the size of the total moment: 0.00 Bohr magnetons per cell. As for the symmetry: R3c (161).


## TiVP2O (GGA+U)

Data for an optimized crystal structure of TiVP2O.

```
5
Lattice="4.7308 0.0000 0.0000 0.0000 4.7308 0.0000 0.0000 0.0000 3.5739" Properties=species:S:1:pos:R:3 pbc="T T T"
Ti 0.0000 0.0000 0.0000
V 2.3654 2.3654 1.7869
P 0.0000 2.3654 1.7869
P 2.3654 0.0000 1.7869
O 2.3654 2.3654 0.0000
```

The density comes out at 3.670 g/cm3. The value obtained for the density of states at the Fermi level is 2.343 states/eV/cell. The value obtained for the final energy is -32.29 eV/f.u. As for the size of the total moment: 1.11 Bohr magnetons per cell. As for the symmetry: P4/mmm (123).


## TiP2WO (GGA+U)

Data for an optimized crystal structure of TiP2WO.

```
5
Lattice="4.8388 0.0000 0.0000 0.0000 4.8388 0.0000 0.0000 0.0000 3.6582" Properties=species:S:1:pos:R:3 pbc="T T T"
Ti 0.0000 0.0000 0.0000
P 0.0000 2.4194 0.0000
P 2.4194 0.0000 0.0000
W 2.4194 2.4194 1.8291
O 0.0000 0.0000 1.8291
```

The density comes out at 6.003 g/cm3. The value obtained for the density of states at the Fermi level is 2.604 states/eV/cell. The value obtained for the final energy is -31.84 eV/f.u. As for the size of the total moment: 2.51 Bohr magnetons per cell. As for the symmetry: P4/mmm (123).


## TiPWO2 (GGA+U)

Data for an optimized crystal structure of TiPWO2.

```
5
Lattice="3.7509 0.0000 0.0000 0.0000 3.7509 0.0000 0.0000 0.0000 5.4807" Properties=species:S:1:pos:R:3 pbc="T T T"
Ti 0.0000 0.0000 0.0000
P 0.0000 0.0000 2.7403
W 1.8755 1.8755 2.7403
O 0.0000 1.8755 0.0000
O 1.8755 0.0000 0.0000
```

The density comes out at 6.346 g/cm3. The value obtained for the density of states at the Fermi level is 1.122 states/eV/cell. The value obtained for the final energy is -35.64 eV/f.u. As for the size of the total moment: 3.10 Bohr magnetons per cell. As for the symmetry: P4/mmm (123).


## TiP2WO (GGA+U)

Data for an optimized crystal structure of TiP2WO.

```
5
Lattice="4.9032 0.0000 0.0000 0.0000 4.9032 0.0000 0.0000 0.0000 3.7657" Properties=species:S:1:pos:R:3 pbc="T T T"
Ti 0.0000 0.0000 0.0000
P 0.0000 2.4516 1.8828
P 2.4516 0.0000 1.8828
W 2.4516 2.4516 1.8828
O 2.4516 2.4516 0.0000
```

The density comes out at 5.680 g/cm3. The value obtained for the density of states at the Fermi level is 5.495 states/eV/cell. The value obtained for the final energy is -31.55 eV/f.u. As for the size of the total moment: 2.10 Bohr magnetons per cell. As for the symmetry: P4/mmm (123).


## TiP6W3O24 (GGA+U)

Data for an optimized crystal structure of TiP6W3O24.

```
34
Lattice="4.3909 2.5351 7.3332 -4.3909 2.5351 7.3332 0.0000 -5.0701 7.3332" Properties=species:S:1:pos:R:3 pbc="T T T"
Ti 0.0000 0.0000 0.0000
P -2.5372 0.0267 8.6085
P -1.9089 -2.5499 12.3009
P 1.2455 -2.2106 8.6085
P -1.2538 2.9281 12.3009
P 1.2917 2.1839 8.6085
P 3.1627 -0.3782 12.3009
W 0.0000 0.0000 6.2441
W 0.0000 0.0000 10.9946
W 0.0000 0.0000 17.2396
O -2.7406 -2.7686 10.9993
O -0.5999 -1.4970 5.0857
O -3.4622 1.2237 8.4147
O -1.6534 -0.1952 7.3473
O -2.8106 -2.4210 13.5182
O -0.9965 1.2680 5.0857
O 0.6713 -3.6102 8.4147
O -1.6824 0.2453 9.8546
O -1.0360 -1.3060 12.1745
O 0.9958 -1.3343 7.3472
O 0.6288 -1.5797 9.8546
O 1.5964 0.2290 5.0857
O 0.6576 1.5295 7.3472
O -1.6022 0.2302 16.0836
O -0.6131 1.5502 12.1745
O -1.0274 3.7577 10.9993
O 1.0537 1.3344 9.8545
O 0.6018 -1.5027 16.0836
O 1.6491 -0.2442 12.1745
O -0.6913 3.6446 13.5182
O 2.7908 2.3865 8.4147
O 3.7680 -0.9891 10.9993
O 1.0005 1.2725 16.0836
O 3.5019 -1.2236 13.5182
```

The density comes out at 3.964 g/cm3. The value obtained for the density of states at the Fermi level is 6.848 states/eV/cell. The value obtained for the final energy is -256.97 eV/f.u. As for the size of the total moment: 4.00 Bohr magnetons per cell. As for the symmetry: R3 (146).


## TiP3WO12 (GGA+U)

Data for an optimized crystal structure of TiP3WO12.

```
34
Lattice="4.3584 2.5163 7.3115 -4.3584 2.5163 7.3115 0.0000 -5.0326 7.3115" Properties=species:S:1:pos:R:3 pbc="T T T"
Ti 0.0000 0.0000 0.0000
Ti 0.0000 0.0000 10.9672
P -1.2069 -2.8663 9.6893
P -2.4796 -0.0380 13.3450
P -1.8788 2.4784 9.6893
P 1.2727 -2.1284 13.3450
P 3.0857 0.3879 9.6893
P 1.2069 2.1664 13.3450
W 0.0000 0.0000 4.7629
W 0.0000 0.0000 15.7301
O -1.6107 -0.1990 5.9031
O -0.6089 -3.5583 8.4721
O -1.0007 -3.7098 10.9816
O -3.3665 -1.2689 13.5321
O -2.7771 2.3065 8.4721
O -0.5844 -1.4827 9.8764
O 0.9777 -1.2954 5.9031
O -1.5813 -0.2098 12.1279
O -2.7124 2.7216 10.9816
O -0.9919 1.2474 9.8764
O 0.6330 1.4944 5.9031
O -1.6460 0.2052 14.6374
O -0.9777 -1.2954 16.8703
O 0.9724 -1.2645 12.1279
O 0.6453 -1.5281 14.6374
O 1.5763 0.2353 9.8764
O 0.6089 1.4744 12.1279
O 2.7821 -2.2810 13.5321
O -0.6330 1.4944 16.8703
O 3.3860 1.2518 8.4722
O 1.0008 1.3229 14.6374
O 0.5844 3.5499 13.5321
O 1.6107 -0.1990 16.8703
O 3.7131 0.9882 10.9816
```

The density comes out at 3.566 g/cm3. The value obtained for the density of states at the Fermi level is 0.000 states/eV/cell. The value obtained for the final energy is -130.77 eV/f.u. As for the size of the total moment: 2.00 Bohr magnetons per cell. As for the symmetry: R3c (161).


## TiPWO2 (GGA+U)

Data for an optimized crystal structure of TiPWO2.

```
5
Lattice="3.8587 0.0000 0.0000 0.0000 3.8587 0.0000 0.0000 0.0000 5.3870" Properties=species:S:1:pos:R:3 pbc="T T T"
Ti 0.0000 0.0000 0.0000
P 1.9294 1.9294 0.0000
W 1.9294 1.9294 2.6935
O 0.0000 1.9294 2.6935
O 1.9294 0.0000 2.6935
```

The density comes out at 6.100 g/cm3. The value obtained for the density of states at the Fermi level is 5.206 states/eV/cell. The value obtained for the final energy is -34.99 eV/f.u. As for the size of the total moment: 2.97 Bohr magnetons per cell. As for the symmetry: P4/mmm (123).


## TiZnP3WO12 (GGA+U)

Data for an optimized crystal structure of TiZnP3WO12.

```
36
Lattice="4.3884 2.5337 7.0503 -4.3884 2.5337 7.0503 0.0000 -5.0673 7.0503" Properties=species:S:1:pos:R:3 pbc="T T T"
Ti 0.0000 0.0000 0.0000
Ti 0.0000 0.0000 10.5755
Zn 0.0000 0.0000 7.5004
Zn 0.0000 0.0000 18.0759
P -1.2345 -2.7743 9.2380
P -2.6030 -0.0774 12.7632
P -1.7854 2.4562 9.2380
P 1.3686 -2.2156 12.7632
P 3.0199 0.3181 9.2380
P 1.2345 2.2930 12.7632
W 0.0000 0.0000 4.4792
W 0.0000 0.0000 15.0547
O -0.8044 -3.6267 7.9860
O -1.6178 -0.0645 5.8746
O -3.5043 -1.3431 12.5743
O -0.7403 -3.4257 10.4965
O -2.7386 2.5100 7.9860
O -0.5890 -1.3609 9.0492
O 0.8647 -1.3688 5.8746
O -1.6498 -0.0237 11.5112
O -2.5965 2.3540 10.4965
O -0.8841 1.1905 9.0492
O -1.7919 -0.1797 14.0217
O 0.7530 1.4333 5.8746
O 0.8454 -1.4169 11.5112
O -0.8647 -1.3688 16.4500
O 1.4731 0.1704 9.0492
O 1.0516 -1.4620 14.0217
O 0.8044 1.4406 11.5112
O 2.9153 -2.3632 12.5743
O -0.7530 1.4333 16.4500
O 3.5430 1.1167 7.9860
O 0.7403 1.6417 14.0217
O 0.5890 3.7064 12.5743
O 3.3369 1.0717 10.4965
O 1.6178 -0.0645 16.4500
```

The density comes out at 4.110 g/cm3. The value obtained for the final energy is -131.72 eV/f.u. As for the size of the total moment: 6.00 Bohr magnetons per cell. As for the symmetry: R3c (161).